{"formula": "Tb2YMg", "functional": "GGA-PBE", "state": "relaxed", "m_tot_mub_per_fu": 0.000, "dos_ef_per_ev_fu": 5.34, "de_polymorph_mev_per_atom": 80, "lattice_angstrom": [[3.5171, 0.0000, 0.0000], [-1.7585, 3.0459, 0.0000], [0.0000, 0.0000, 34.0635]], "species": ["Tb", "Tb", "Tb", "Tb", "Tb", "Tb", "Y", "Y", "Y", "Mg", "Mg", "Mg"], "fractional_positions": [[0.0000, 0.0000, 0.0000], [0.0000, 0.0000, 0.1633], [0.3333, 0.6667, 0.6667], [0.3333, 0.6667, 0.8300], [0.6667, 0.3333, 0.3333], [0.6667, 0.3333, 0.4967], [0.0000, 0.0000, 0.5814], [0.3333, 0.6667, 0.2481], [0.6667, 0.3333, 0.9147], [0.0000, 0.0000, 0.7483], [0.3333, 0.6667, 0.4149], [0.6667, 0.3333, 0.0816]]}